A plane-wave DFT calculation with meta-GGA SCAN was carried out for a PBEsol-optimized structure of NbAsRhSe2.

- SG = P4/mmm
- raw formation energy (eV per atom) = 0.65
- energy (eV for the cell shown) = -124.0
- energy relative to the lowest polymorph listed for this composition (meV/atom) = 122.9

a b c (Å): 4.874 4.874 4.939
angles (deg): 90.00 90.00 90.00
Positions (direct):
Nb: 0.000 0.000 0.000
As: 0.000 0.000 0.500
Rh: 0.500 0.500 0.500
Se: 0.000 0.500 0.000
Se: 0.500 0.000 0.000